{
  "formula": "Sr3Ga3Pd2",
  "functional": "GGA-PBE",
  "state": "relaxed",
  "lattice": [[-2.5686, -4.5874, 3.2198], [7.4890, -2.1776, 2.8717], [-1.9097, 9.7588, 12.3803]],
  "species": ["Ga", "Ga", "Ga", "Ga", "Ga", "Ga", "Ga", "Ga", "Ga", "Ga", "Ga", "Ga", "Sr", "Sr", "Sr", "Sr", "Sr", "Sr", "Sr", "Sr", "Sr", "Sr", "Sr", "Sr", "Pd", "Pd", "Pd", "Pd", "Pd", "Pd", "Pd", "Pd"],
  "frac_coords": [[0.8884, 0.8252, 0.0401], [0.1116, 0.1748, 0.5401], [0.6116, 0.3252, 0.4599], [0.0954, 0.1594, 0.2500], [0.5954, 0.3406, 0.7500], [0.8884, 0.8252, 0.4599], [0.3884, 0.6748, 0.9599], [0.4046, 0.6594, 0.2500], [0.6116, 0.3252, 0.0401], [0.3884, 0.6748, 0.5401], [0.1116, 0.1748, 0.9599], [0.9046, 0.8406, 0.7500], [0.3799, 0.6854, 0.7500], [0.1227, 0.4597, 0.3934], [0.3773, 0.9597, 0.1066], [0.6227, 0.0403, 0.8934], [0.3773, 0.9597, 0.3934], [0.6201, 0.3146, 0.2500], [0.8799, 0.8146, 0.2500], [0.6227, 0.0403, 0.6066], [0.8773, 0.5403, 0.8934], [0.1201, 0.1854, 0.7500], [0.8773, 0.5403, 0.6066], [0.1227, 0.4597, 0.1066], [0.1154, 0.8843, 0.5990], [0.8846, 0.1157, 0.4010], [0.8846, 0.1157, 0.0990], [0.6154, 0.6157, 0.0990], [0.1154, 0.8843, 0.9010], [0.3846, 0.3843, 0.5990], [0.6154, 0.6157, 0.4010], [0.3846, 0.3843, 0.9010]],
  "formation_enthalpy_0k_mev_per_atom": -584,
  "m_tot_mub_per_cell": 0.00
}

{
  "formula": "Ce2PaS3",
  "functional": "GGA-PBE",
  "state": "relaxed",
  "lattice": [[6.7654, -0.0242, -1.1314], [-3.6479, 5.6977, -1.1314], [-0.0033, -0.0060, 6.9136]],
  "species": ["S", "S", "S", "S", "S", "S", "Ce", "Ce", "Ce", "Ce", "Pa", "Pa"],
  "frac_coords": [[0.4154, 0.0868, 0.2457], [0.2513, 0.2466, 0.7543], [0.7534, 0.7487, 0.2457], [0.9132, 0.5846, 0.7543], [0.0762, 0.4095, 0.2434], [0.5905, 0.9238, 0.7566], [0.1691, 0.8309, 0.5000], [0.4976, 0.5024, 0.5000], [0.8333, 0.1667, 0.5000], [0.3333, 0.6667, 0.0000], [0.0002, 0.9998, 0.0000], [0.6664, 0.3336, 0.0000]],
  "m_tot_mub_per_cell": 2.20,
  "e_form_raw_mev_per_atom": -1885
}

{
  "formula": "AsP2",
  "functional": "GGA-PBE",
  "state": "relaxed",
  "lattice": [[-1.5106, 1.6086, -2.8461], [0.2618, -3.5901, 0.1105], [-3.9635, -0.2282, 1.9747]],
  "species": ["P", "P", "As"],
  "frac_coords": [[0.6667, 0.3333, 0.8481], [0.3333, 0.6667, 0.1519], [0.0000, 0.0000, 0.5000]],
  "formation_enthalpy_0k_mev_per_atom": 193,
  "de_polymorph_mev_per_atom": 82.9,
  "m_tot_mub_per_cell": 0.00
}

{
  "formula": "Mn21Ir2N6",
  "functional": "GGA-PBE",
  "state": "relaxed",
  "lattice": [[-2.2508, 6.7206, 2.0441], [-6.1017, 0.7656, 4.0735], [0.5150, 2.0731, 7.0602]],
  "species": ["Mn", "Mn", "Mn", "Mn", "Mn", "Mn", "Mn", "Mn", "Mn", "Mn", "Mn", "Mn", "Mn", "Mn", "Mn", "Mn", "Mn", "Mn", "Mn", "Mn", "Mn", "N", "N", "N", "N", "N", "N", "Ir", "Ir"],
  "frac_coords": [[0.0000, 0.0000, 0.0000], [0.6694, 0.0000, 0.3306], [0.6694, 0.3306, 0.0000], [0.8452, 0.3849, 0.3849], [0.3849, 0.8452, 0.3849], [0.6151, 0.6151, 0.6151], [0.6694, 0.0000, 0.0000], [0.3306, 0.0000, 0.6694], [0.0000, 0.3306, 0.6694], [0.0000, 0.0000, 0.6694], [0.0000, 0.6694, 0.0000], [0.0000, 0.3306, 0.0000], [0.6151, 0.1548, 0.6151], [0.1548, 0.6151, 0.6151], [0.3849, 0.3849, 0.8452], [0.6151, 0.6151, 0.1548], [0.3306, 0.0000, 0.0000], [0.3306, 0.6694, 0.0000], [0.3849, 0.3849, 0.3849], [0.0000, 0.0000, 0.3306], [0.0000, 0.6694, 0.3306], [0.2762, 0.2762, 0.7238], [0.2762, 0.7238, 0.7238], [0.7238, 0.7238, 0.2762], [0.7238, 0.2762, 0.2762], [0.2762, 0.7238, 0.2762], [0.7238, 0.2762, 0.7238], [0.2500, 0.2500, 0.2500], [0.7500, 0.7500, 0.7500]],
  "m_tot_mub_per_cell": 13.08,
  "e_form_raw_mev_per_atom": -23
}

What is the formula in the fourth record? Mn21Ir2N6

Which formula does entry 1 have? Sr3Ga3Pd2